1.
SbW5 | the Alexandria database | GGA-PBE | optimized geometry; formation energy without anion corrections = 0.30 eV/atom; distance to the lowest polymorph of the same formula = 0 meV per atom; space-group type = C2/m, No. 12; total moment = 0.00 μB/cell
1.0
5.053 -1.634 0.000
5.053 1.634 0.000
-2.069 0.000 6.088
Sb W
1 5
Cartesian
0.000 0.000 0.000
-1.034 0.000 3.044
2.963 0.000 1.040
1.975 0.000 4.005
6.062 0.000 2.083
5.074 0.000 5.048


2.
MnVSbI2 | the Alexandria database | GGA-PBE | optimized geometry; formation energy without anion corrections = 0.56 eV/atom; distance to the lowest polymorph of the same formula = 0 meV per atom; space-group type = P4/mmm, No. 123; total moment = 7.13 μB/cell
1.0
5.478 0.000 0.000
0.000 5.478 0.000
0.000 0.000 5.378
Mn V Sb I
1 1 1 2
Cartesian
0.000 0.000 0.000
2.739 2.739 2.689
2.739 2.739 0.000
0.000 2.739 2.689
2.739 0.000 2.689


3.
MnCrOs2 | the Alexandria database | GGA-PBE | optimized geometry; energy of formation = 0.17 eV/atom; space-group type = Fm-3m, No. 225; total moment = 3.23 μB/cell
1.0
0.000 2.985 2.985
2.985 0.000 2.985
2.985 2.985 0.000
Mn Cr Os
1 1 2
Cartesian
0.000 0.000 0.000
2.985 2.985 2.985
1.493 1.493 1.493
4.478 4.478 4.478


4.
Na3YZr2Te6 | the Alexandria database | GGA-PBE | optimized geometry; formation energy without anion corrections = -1.03 eV/atom; space-group type = C2/m, No. 12; total moment = 0.00 μB/cell
1.0
3.633 -6.303 0.000
3.633 6.303 0.000
-2.432 0.000 7.760
Na Y Zr Te
3 1 2 6
Cartesian
0.000 0.000 0.000
3.633 2.038 0.000
3.633 -2.038 0.000
2.417 0.000 3.880
2.417 4.185 3.880
2.417 -4.185 3.880
1.163 2.174 2.103
-0.095 0.000 5.641
1.163 -2.174 2.103
3.671 2.174 5.656
4.929 0.000 2.119
3.671 -2.174 5.656


5.
RbIn2Sb2Au6 | the Alexandria database | GGA-PBE | optimized geometry; formation energy without anion corrections = -0.14 eV/atom; space-group type = C2/m, No. 12; total moment = 0.00 μB/cell
1.0
6.448 -3.457 0.000
6.448 3.457 0.000
-4.538 0.000 7.606
Rb In Sb Au
1 2 2 6
Cartesian
0.000 0.000 0.000
4.019 0.000 0.532
4.339 0.000 7.074
2.741 0.000 3.658
5.617 0.000 3.948
-0.722 1.414 5.707
-0.722 -1.414 5.707
1.737 0.000 6.184
6.621 0.000 1.422
9.081 1.414 1.899
9.081 -1.414 1.899


6.
EuScPb | the Alexandria database | GGA-PBE | optimized geometry; energy of formation = -0.28 eV/atom; space-group type = P3m1, No. 156; total moment = 7.98 μB/cell
1.0
5.176 0.000 0.000
-2.588 4.482 0.000
0.000 0.000 3.845
Eu Sc Pb
1 1 1
Cartesian
0.000 0.000 0.000
2.588 1.494 1.918
0.000 2.988 1.932


7.
Sm3ZnPd | the Alexandria database | GGA-PBE | optimized geometry; energy of formation = -0.27 eV/atom; space-group type = Amm2, No. 38; total moment = 0.00 μB/cell
1.0
3.832 0.000 0.000
0.000 7.606 4.912
0.000 -7.606 4.912
Sm Zn Pd
6 2 2
Cartesian
0.000 -5.897 4.912
0.000 -1.705 3.749
0.000 1.705 3.749
0.000 5.897 4.912
1.916 -2.410 6.786
1.916 2.410 6.786
0.000 0.000 6.778
1.916 0.000 1.872
1.916 -3.804 4.333
1.916 3.804 4.333


Number 1: E -11.1861 eV per atom. Number 2: E -4.5412 eV per atom. Number 3: E -10.1467 eV per atom. Number 4: E -4.8921 eV per atom. Number 5: E -3.2591 eV per atom. Number 6: E -7.0495 eV per atom. Number 7: E -4.3951 eV per atom.